[1]
The following is a PBE-GGA calculation of a relaxed HgMo2W crystal, from Alexandria.

```
HgMo2W
1.0
3.3746 0.0000 0.0000
0.0000 3.3741 0.0000
0.0000 0.0000 6.0693
W Mo Hg
1 2 1
direct
0.0000 0.0000 0.4652
0.5000 0.5000 0.2499
0.0000 0.0000 0.0335
0.5000 0.5000 0.7513
```

Properties
Total DFT energy (no corrections), eV/f.u.: -33.1
E_form, eV/atom: 0.464
Calculated volume, A^3/atom: 17.28

[2]
The following is a PBE-GGA calculation of a relaxed NiHgPt crystal, from Alexandria.

```
NiHgPt
1.0
5.8995 0.1771 -0.0904
4.3331 4.0074 0.0904
-5.0823 -2.1754 2.0691
Hg Pt Ni
1 1 1
direct
0.9916 0.9916 0.0000
0.6832 0.6832 0.0000
0.3252 0.3252 0.0000
```

Properties
Total DFT energy (no corrections), eV/f.u.: -11.9
E_form, eV/atom: 0.088
Calculated volume, A^3/atom: 15.81

[3]
The following is a PBE-GGA calculation of a relaxed TaTiC2 crystal, from Alexandria.

```
TaTiC2
1.0
5.3980 0.0028 0.0017
4.4920 2.9933 0.0017
4.4920 1.3608 2.6661
C Ti Ta
2 1 1
direct
0.7512 0.7512 0.7512
0.2488 0.2488 0.2488
0.5000 0.5000 0.5000
0.0000 0.0000 0.0000
```

Properties
Total DFT energy (no corrections), eV/f.u.: -41.2
E_form, eV/atom: -0.748
Calculated volume, A^3/atom: 10.75